(1)
K2NdAuO4: optimized geometry, GGA-PBE.

```
K2NdAuO4
1.0
5.719 0.138 0.212
-2.312 5.233 -0.212
-2.312 -2.300 4.705
O K Au Nd
4 2 1 1
direct
0.437 0.816 0.703 O
0.113 0.297 0.734 O
0.887 0.621 0.184 O
0.563 0.266 0.379 O
0.500 0.750 0.250 K
0.000 0.000 0.000 K
0.000 0.500 0.500 Au
0.500 0.250 0.750 Nd
```

Computed properties:
- space-group type = No. 82
- ΔE_f (raw) (eV per atom) = -1.581

---

(2)
TmAsPbO5: optimized geometry, GGA-PBE.

```
TmAsPbO5
1.0
6.104 -0.013 -0.050
-1.795 5.834 -0.050
-1.850 -2.499 7.155
O As Tm Pb
10 2 2 2
direct
0.913 0.087 0.750 O
0.087 0.913 0.250 O
0.762 0.599 0.413 O
0.112 0.683 0.871 O
0.238 0.401 0.587 O
0.599 0.762 0.913 O
0.317 0.888 0.629 O
0.401 0.238 0.087 O
0.683 0.112 0.371 O
0.888 0.317 0.129 O
0.682 0.318 0.250 As
0.318 0.682 0.750 As
0.000 0.000 0.500 Tm
0.000 0.000 0.000 Tm
0.690 0.310 0.750 Pb
0.310 0.690 0.250 Pb
```

Computed properties:
- space-group type = No. 15
- ΔE_f (raw) (eV per atom) = -2.048

---

(3)
VRh2W: optimized geometry, GGA-PBE.

```
VRh2W
1.0
3.825 0.000 0.000
0.000 3.876 0.000
0.000 0.000 3.876
Rh V W
2 1 1
direct
0.000 0.000 0.500 Rh
0.000 0.500 0.000 Rh
0.500 0.500 0.500 V
0.500 0.000 0.000 W
```

Computed properties:
- space-group type = No. 123
- energy relative to the elements (eV per atom) = -0.258
- offset from the most stable computed form (meV/atom) = 0

---

(4)
Np2CrS5: optimized geometry, GGA-PBE.

```
Np2CrS5
1.0
-4.408 2.992 -5.364
-6.083 -2.236 3.752
-0.146 9.339 5.329
S Cr Np
20 4 8
direct
0.163 0.750 0.806 S
0.163 0.250 0.806 S
0.337 0.250 0.306 S
0.671 0.000 0.422 S
0.663 0.250 0.694 S
0.500 0.250 0.000 S
0.337 0.750 0.306 S
0.829 0.000 0.922 S
0.671 0.500 0.422 S
0.837 0.750 0.194 S
0.329 0.000 0.578 S
0.171 0.000 0.078 S
0.000 0.750 0.500 S
0.663 0.750 0.694 S
0.500 0.750 0.000 S
0.329 0.500 0.578 S
0.829 0.500 0.922 S
0.000 0.250 0.500 S
0.171 0.500 0.078 S
0.837 0.250 0.194 S
0.500 0.750 0.500 Cr
0.000 0.250 0.000 Cr
0.000 0.750 0.000 Cr
0.500 0.250 0.500 Cr
0.047 0.500 0.321 Np
0.953 0.000 0.679 Np
0.453 0.500 0.821 Np
0.047 0.000 0.321 Np
0.547 0.000 0.179 Np
0.953 0.500 0.679 Np
0.547 0.500 0.179 Np
0.453 0.000 0.821 Np
```

Computed properties:
- space-group type = No. 55
- ΔE_f (raw) (eV per atom) = -1.159
- offset from the most stable computed form (meV/atom) = 0

---

(5)
Sm2DyMg2: optimized geometry, GGA-PBE.

```
Sm2DyMg2
1.0
-0.298 3.653 0.997
-4.986 0.202 -2.231
-5.500 -5.648 11.782
Sm Mg Dy
4 4 2
direct
0.045 0.750 0.089 Sm
0.236 0.750 0.474 Sm
0.955 0.250 0.911 Sm
0.764 0.250 0.526 Sm
0.554 0.250 0.109 Mg
0.640 0.750 0.280 Mg
0.446 0.750 0.891 Mg
0.360 0.250 0.720 Mg
0.850 0.750 0.699 Dy
0.150 0.250 0.301 Dy
```

Computed properties:
- space-group type = No. 63
- energy relative to the elements (eV per atom) = -0.069
- offset from the most stable computed form (meV/atom) = 0